# 1
! CaLa2TaN4 PBE relaxed; values from VASP
! * space-group type: Imma (74)
! * DOS at the Fermi energy: 0.30 states/eV per atom
&SYSTEM
  ibrav = 0, nat = 16, ntyp = 4
/
ATOMIC_SPECIES
Ca 40.08 Ca.upf
La 138.91 La.upf
Ta 180.95 Ta.upf
N 14.01 N.upf
CELL_PARAMETERS angstrom
6.985 -0.031 -0.112
-0.036 6.985 -0.112
-3.498 -3.500 5.028
ATOMIC_POSITIONS angstrom
Ca -3.515 -0.007 4.972
Ca 5.218 1.712 2.346
La 3.492 -0.015 -0.056
La 1.744 -1.765 2.458
La -1.785 5.235 2.402
La -0.023 -0.023 4.916
Ta 1.726 1.727 2.402
Ta 3.487 -3.531 4.916
N -2.031 1.972 4.908
N 3.240 0.226 2.411
N 0.212 3.228 2.394
N 5.483 1.482 -0.103
N 1.852 1.822 4.685
N 3.356 3.328 2.522
N 0.095 0.126 2.283
N 1.599 1.632 0.119


# 2
! Ca2La3TaN6 PBE relaxed; values from VASP
! * space-group type: C2/m (12)
&SYSTEM
  ibrav = 0, nat = 12, ntyp = 4
/
ATOMIC_SPECIES
Ca 40.08 Ca.upf
La 138.91 La.upf
Ta 180.95 Ta.upf
N 14.01 N.upf
CELL_PARAMETERS angstrom
6.180 -0.006 0.013
-3.093 5.350 0.013
-1.018 -1.762 5.715
ATOMIC_POSITIONS angstrom
Ca -0.001 3.564 0.013
Ca 3.088 1.780 0.013
La -2.070 3.584 2.870
La 4.139 -0.002 2.870
La 1.034 1.791 2.870
Ta 0.000 0.000 0.000
N 2.953 2.043 4.454
N 2.181 3.777 1.364
N -0.884 1.539 1.286
N 0.294 3.579 4.454
N -0.113 -0.195 4.376
N 1.775 0.003 1.286


# 3
! CaLaTa2N PBE relaxed; values from VASP
! * space-group type: P4/mmm (123)
! * DOS at the Fermi energy: 1.62 states/eV per atom
&SYSTEM
  ibrav = 0, nat = 5, ntyp = 4
/
ATOMIC_SPECIES
N 14.01 N.upf
Ca 40.08 Ca.upf
La 138.91 La.upf
Ta 180.95 Ta.upf
CELL_PARAMETERS angstrom
5.229 0.000 0.000
0.000 4.344 0.000
0.000 0.000 5.229
ATOMIC_POSITIONS angstrom
N 0.000 2.172 0.000
Ca 0.000 0.000 0.000
La 2.614 2.172 2.614
Ta 0.000 0.000 2.614
Ta 2.614 0.000 0.000


# 4
! CaLaTcN3 PBE relaxed; values from VASP
! * space-group type: P2_1/m (11)
! * DOS at the Fermi energy: 0.31 states/eV per atom
&SYSTEM
  ibrav = 0, nat = 12, ntyp = 4
/
ATOMIC_SPECIES
Ca 40.08 Ca.upf
La 138.91 La.upf
Tc 98.00 Tc.upf
N 14.01 N.upf
CELL_PARAMETERS angstrom
-1.119 0.977 -3.207
-7.197 -1.520 2.047
0.141 7.939 2.370
ATOMIC_POSITIONS angstrom
Ca -1.430 1.048 -0.156
Ca -6.745 6.348 1.365
La -4.628 0.717 0.859
La -3.548 6.679 0.351
Tc -0.576 5.045 0.764
Tc -7.599 2.351 0.446
N -7.478 0.619 -0.125
N -0.698 6.777 1.334
N -6.244 2.508 1.968
N -1.931 4.888 -0.758
N -3.643 1.031 -1.337
N -4.533 6.365 2.547


# 5
! Ca2La6TcN PBE relaxed; values from VASP
! * space-group type: I4mm (107)
! * DOS at the Fermi energy: 1.00 states/eV per atom
&SYSTEM
  ibrav = 0, nat = 10, ntyp = 4
/
ATOMIC_SPECIES
Ca 40.08 Ca.upf
La 138.91 La.upf
Tc 98.00 Tc.upf
N 14.01 N.upf
CELL_PARAMETERS angstrom
-4.937 4.995 2.967
-5.720 -4.858 -1.343
6.113 -2.469 4.533
ATOMIC_POSITIONS angstrom
Ca -2.090 1.330 4.081
Ca -2.482 -3.600 1.924
La -2.092 -2.338 5.717
La -4.974 -1.022 3.234
La 3.636 -2.411 4.845
La 0.982 0.273 6.439
La 0.379 -1.175 2.611
La 0.561 -5.022 4.123
Tc -5.307 -0.012 0.986
N 0.075 -0.239 0.525


# 6
! CaLaTc2N4 PBE relaxed; values from VASP
! * space-group type: I4/mmm (139)
! * DOS at the Fermi energy: 0.45 states/eV per atom
&SYSTEM
  ibrav = 0, nat = 8, ntyp = 4
/
ATOMIC_SPECIES
Ca 40.08 Ca.upf
La 138.91 La.upf
Tc 98.00 Tc.upf
N 14.01 N.upf
CELL_PARAMETERS angstrom
-3.021 3.691 2.965
-5.239 -0.148 0.165
-2.056 -1.169 4.680
ATOMIC_POSITIONS angstrom
Ca -5.158 1.187 3.904
La 0.000 0.000 0.000
Tc -2.580 0.592 1.953
Tc -7.736 1.781 5.856
N -2.538 1.261 3.822
N -1.028 -0.585 2.340
N -2.619 -0.074 0.082
N -4.130 1.771 1.565


# 7
! CaLa2TcN4 PBE relaxed; values from VASP
! * space-group type: Cmcm (63)
! * DOS at the Fermi energy: 0.58 states/eV per atom
&SYSTEM
  ibrav = 0, nat = 16, ntyp = 4
/
ATOMIC_SPECIES
Ca 40.08 Ca.upf
La 138.91 La.upf
Tc 98.00 Tc.upf
N 14.01 N.upf
CELL_PARAMETERS angstrom
-0.885 -3.482 -0.189
4.446 0.472 4.716
-8.930 1.823 8.235
ATOMIC_POSITIONS angstrom
Ca -5.606 1.021 7.437
Ca 0.236 -2.208 5.325
La -1.812 0.036 7.810
La 0.301 -2.011 1.393
La -3.558 -1.223 4.952
La -5.671 0.824 11.369
Tc -4.346 -1.260 9.308
Tc -1.024 0.073 3.454
N 0.876 -0.413 3.508
N -4.185 -1.194 7.354
N -6.246 -0.774 9.254
N -1.185 0.007 5.408
N -4.465 0.912 4.118
N 0.000 0.000 0.000
N -3.386 0.317 9.999
N -1.984 -1.504 2.763


# 8
! CaLaTe2N PBE relaxed; values from VASP
! * E above lowest polymorph: 0 meV/atom
! * space-group type: P4/mmm (123)
! * DOS at the Fermi energy: 0.65 states/eV per atom
&SYSTEM
  ibrav = 0, nat = 5, ntyp = 4
/
ATOMIC_SPECIES
N 14.01 N.upf
Ca 40.08 Ca.upf
Te 127.60 Te.upf
La 138.91 La.upf
CELL_PARAMETERS angstrom
-3.744 4.859 -1.790
-5.175 -3.588 1.085
-0.116 1.339 3.876
ATOMIC_POSITIONS angstrom
N -0.058 0.669 1.938
Ca -4.517 1.305 1.585
Te -2.587 -1.794 0.542
Te -1.872 2.429 -0.895
La 0.000 0.000 0.000


In order of appearance, spin magnetization = 0.000 0.000 0.377 0.000 0.000 0.000 0.098 0.059 μB per atom.
In order of appearance, raw formation energy = -1.19 -1.21 2.06 -0.70 -0.18 -0.72 -0.78 -0.48 eV/atom.